1.
A plane-wave DFT calculation with SCAN was carried out for a crystal of ThIn relaxed with PBEsol.

volume	27.2	Å³/atom
magnetization	0.0	μB per cell
symmetry	P4/mmm
VASP energy	-4.77744	Ry per atom

The structure in POSCAR format:
```
ThIn
1.0
3.4490 0.0000 0.0000
0.0000 3.4490 0.0000
0.0000 0.0000 4.5802
Th In
1 1
Cartesian
1.7245 1.7245 2.2901
0.0000 0.0000 0.0000
```


2.
A plane-wave DFT calculation with SCAN was carried out for a crystal of KScMo2O8 relaxed with PBEsol.

volume	17.3	Å³/atom
magnetization	0.0	μB per cell
formation energy (no corrections)	-2.59	eV/atom
symmetry	P-3m1

The structure in POSCAR format:
```
KScMo2O8
1.0
5.7814 0.0000 0.0000
-2.8907 5.0068 0.0000
0.0000 0.0000 7.1690
Mo O K Sc
2 8 1 1
Cartesian
2.8907 1.6689 5.3410
0.0000 3.3379 1.8280
1.4602 4.1809 1.2645
2.8907 1.6689 3.6232
-1.4602 4.1809 1.2645
4.3509 0.8259 5.9045
1.4305 0.8259 5.9045
0.0000 1.6518 1.2645
2.8907 3.3550 5.9045
0.0000 3.3379 3.5458
0.0000 0.0000 3.5845
0.0000 0.0000 0.0000
```


3.
A plane-wave DFT calculation with SCAN was carried out for a crystal of LuFe2Si2 relaxed with PBEsol.

volume	14.0	Å³/atom
magnetization	1.5	μB per cell
formation energy (no corrections)	-0.59	eV/atom
symmetry	I4/mmm

The structure in POSCAR format:
```
LuFe2Si2
1.0
3.8698 0.0000 0.0000
0.0000 3.8698 0.0000
-1.9349 -1.9349 4.6692
Si Fe Lu
2 2 1
Cartesian
1.9349 1.9349 1.2249
0.0000 0.0000 3.4444
1.9349 0.0000 2.3346
0.0000 1.9349 2.3346
0.0000 0.0000 0.0000
```


4.
A plane-wave DFT calculation with SCAN was carried out for a crystal of MgCuRhAu2 relaxed with PBEsol.

volume	18.5	Å³/atom
magnetization	0.0	μB per cell
symmetry	P4/mmm
VASP energy	-2.78100	Ry per atom

The structure in POSCAR format:
```
MgCuRhAu2
1.0
4.4097 0.0000 0.0000
0.0000 4.5818 0.0000
0.0000 0.0000 4.5818
Cu Mg Rh Au
1 1 1 2
Cartesian
0.0000 0.0000 0.0000
2.2049 0.0000 0.0000
2.2049 2.2909 2.2909
0.0000 2.2909 0.0000
0.0000 0.0000 2.2909
```


5.
A plane-wave DFT calculation with SCAN was carried out for a crystal of MgNbAl2In relaxed with PBEsol.

volume	23.2	Å³/atom
magnetization	2.6	μB per cell
symmetry	P4/mmm
VASP energy	-1.18814	Ry per atom

The structure in POSCAR format:
```
MgNbAl2In
1.0
-3.9269 -2.5960 -1.0180
2.7409 -3.2698 -2.2343
0.5333 -2.4953 4.3060
Al Mg In Nb
2 1 1 1
Cartesian
-1.9635 -1.2980 -0.5090
1.3704 -1.6349 -1.1172
0.0000 0.0000 0.0000
0.2667 -1.2477 2.1530
-0.3264 -4.1806 0.5268
```


6.
A plane-wave DFT calculation with SCAN was carried out for a crystal of LiSO4 relaxed with PBEsol.

volume	17.8	Å³/atom
magnetization	2.0	μB per cell
formation energy (no corrections)	-1.52	eV/atom
symmetry	P6_3

The structure in POSCAR format:
```
LiSO4
1.0
-3.8633 0.5266 3.5131
4.9538 -0.6167 1.6198
1.1306 8.8589 -0.0847
O Li S
8 2 2
Cartesian
1.0773 6.6871 2.0388
2.2069 2.0294 0.8374
-1.3140 6.9938 2.2053
2.0576 0.0999 2.2477
0.0273 6.8418 4.2099
-0.3162 4.9104 2.8365
1.1568 2.1842 3.0085
3.5482 1.8774 2.8419
-0.5573 3.0207 2.8545
2.9470 7.0690 2.1811
2.2446 1.5656 2.2337
-0.1291 6.3761 2.8224
```


7.
A plane-wave DFT calculation with SCAN was carried out for a crystal of Ta2IrBr relaxed with PBEsol.

volume	18.4	Å³/atom
magnetization	0.0	μB per cell
formation energy (no corrections)	0.07	eV/atom
symmetry	R3m
distance to the lowest polymorph of the same formula	0.000	eV/atom

The structure in POSCAR format:
```
Ta2IrBr
1.0
3.1179 0.0000 0.0000
1.5589 2.7001 0.0000
1.5589 0.9000 8.7449
Ta Ir Br
2 1 1
Cartesian
4.6768 2.7001 6.5562
4.6768 2.7001 0.0763
1.5589 0.9000 1.8926
3.1179 1.8001 4.5922
```


8.
A plane-wave DFT calculation with SCAN was carried out for a crystal of CdPPb3 relaxed with PBEsol.

volume	31.5	Å³/atom
magnetization	0.0	μB per cell
symmetry	Pm-3m
VASP energy	-3.90521	Ry per atom

The structure in POSCAR format:
```
CdPPb3
1.0
5.4010 0.0000 0.0000
0.0000 5.4010 0.0000
0.0000 0.0000 5.4010
Pb P Cd
3 1 1
Cartesian
0.0000 0.0000 2.7005
2.7005 0.0000 0.0000
0.0000 2.7005 0.0000
0.0000 0.0000 0.0000
2.7005 2.7005 2.7005
```


9.
A plane-wave DFT calculation with SCAN was carried out for a crystal of InReAg relaxed with PBEsol.

volume	17.1	Å³/atom
magnetization	0.8	μB per cell
symmetry	I4mm
distance to the lowest polymorph of the same formula	0.000	eV/atom

The structure in POSCAR format:
```
InReAg
1.0
-2.3691 1.4667 0.3095
-1.2624 -2.2643 1.0672
3.6933 2.1700 5.2905
Re In Ag
1 1 1
Cartesian
1.2577 1.1864 4.0050
-1.1747 0.2059 2.7296
0.0407 1.3524 6.5998
```


10.
A plane-wave DFT calculation with SCAN was carried out for a crystal of Li8Cr3SbO12 relaxed with PBEsol.

volume	8.5	Å³/atom
magnetization	7.0	μB per cell
formation energy (no corrections)	-2.19	eV/atom
symmetry	P2

The structure in POSCAR format:
```
Li8Cr3SbO12
1.0
4.9347 0.0270 0.0262
-0.0385 4.9391 0.0169
-0.0449 -0.0290 8.4062
Li O Sb Cr
8 12 1 3
Cartesian
2.4384 2.4746 2.1282
2.4257 4.9463 0.6711
2.4066 2.4535 7.8722
4.9003 0.0064 6.2442
-0.0450 2.4562 4.8620
-0.0299 2.4617 2.3592
2.3936 4.9296 6.4595
-0.0198 -0.0112 3.7237
1.0317 4.0602 7.7964
1.1977 4.1822 2.2059
3.4807 3.3440 3.6932
1.3758 1.5970 3.6755
3.6429 3.1723 6.3753
3.8118 3.3071 0.7044
1.1854 1.7509 6.3573
3.5031 0.8760 4.9122
1.0772 1.6548 0.6843
3.7812 0.8528 7.7998
3.6752 0.7687 2.2073
1.3402 4.0565 4.9117
4.9303 0.0245 0.8554
-0.0596 2.4436 7.5901
2.4095 4.9400 3.6157
2.4212 2.4652 5.0572
```


11.
A plane-wave DFT calculation with SCAN was carried out for a crystal of MgIrC3 relaxed with PBEsol.

volume	12.6	Å³/atom
magnetization	0.0	μB per cell
symmetry	Pm-3m
distance to the lowest polymorph of the same formula	0.000	eV/atom

The structure in POSCAR format:
```
MgIrC3
1.0
3.9780 0.0000 0.0000
0.0000 3.9780 0.0000
0.0000 0.0000 3.9780
C Mg Ir
3 1 1
Cartesian
0.0000 1.9890 0.0000
1.9890 0.0000 0.0000
0.0000 0.0000 1.9890
1.9890 1.9890 1.9890
0.0000 0.0000 0.0000
```


12.
A plane-wave DFT calculation with SCAN was carried out for a crystal of LiHg2Rh relaxed with PBEsol.

volume	16.5	Å³/atom
magnetization	0.0	μB per cell
symmetry	Pmm2
VASP energy	-3.18494	Ry per atom

The structure in POSCAR format:
```
LiHg2Rh
1.0
3.2313 0.0000 0.0000
0.0000 4.5199 0.0000
0.0000 0.0000 4.5205
Li Rh Hg
1 1 2
Cartesian
1.6157 0.0000 2.8301
1.6157 2.2600 0.5612
0.0000 2.2600 2.8221
0.0000 0.0000 0.5673
```


13.
A plane-wave DFT calculation with SCAN was carried out for a crystal of LaMgCl relaxed with PBEsol.

volume	25.7	Å³/atom
magnetization	0.0	μB per cell
formation energy (no corrections)	-0.97	eV/atom
symmetry	P3m1

The structure in POSCAR format:
```
LaMgCl
1.0
3.5335 0.0000 0.0000
-1.7667 3.0601 0.0000
0.0000 0.0000 7.1218
La Mg Cl
1 1 1
Cartesian
0.0000 2.0401 4.9364
1.7667 1.0200 2.1418
0.0000 0.0000 0.0436
```


14.
A plane-wave DFT calculation with SCAN was carried out for a crystal of YAl2Ni relaxed with PBEsol.

volume	18.2	Å³/atom
magnetization	0.0	μB per cell
symmetry	R3m
VASP energy	-1.08985	Ry per atom

The structure in POSCAR format:
```
YAl2Ni
1.0
3.1417 0.0000 0.0000
1.5709 2.7208 0.0000
1.5709 0.9069 8.4973
Al Ni Y
2 1 1
Cartesian
1.5709 0.9069 8.2891
4.7126 2.7208 6.0958
3.1417 1.8139 4.4578
1.5709 0.9069 2.4005
```


15.
A plane-wave DFT calculation with SCAN was carried out for a crystal of RbMgGa3 relaxed with PBEsol.

volume	37.0	Å³/atom
magnetization	0.0	μB per cell
symmetry	Pm-3m
VASP energy	-1.00412	Ry per atom

The structure in POSCAR format:
```
RbMgGa3
1.0
5.6961 0.0000 0.0000
0.0000 5.6961 0.0000
0.0000 0.0000 5.6961
Ga Rb Mg
3 1 1
Cartesian
2.8481 0.0000 0.0000
0.0000 2.8481 0.0000
0.0000 0.0000 2.8481
0.0000 0.0000 0.0000
2.8481 2.8481 2.8481
```


16.
A plane-wave DFT calculation with SCAN was carried out for a crystal of LiMgAu2 relaxed with PBEsol.

volume	16.4	Å³/atom
magnetization	0.0	μB per cell
symmetry	Cm
VASP energy	-2.72269	Ry per atom

The structure in POSCAR format:
```
LiMgAu2
1.0
-0.6544 -2.7368 1.1114
2.1880 -1.9886 -3.6085
3.8529 1.8121 2.6129
Au Li Mg
2 1 1
Cartesian
3.3361 -1.1951 -0.9786
3.2424 -0.9838 3.6046
0.9479 -2.4391 -1.3302
1.8252 -1.5826 1.2955
```


17.
A plane-wave DFT calculation with SCAN was carried out for a crystal of TlPPbS2 relaxed with PBEsol.

volume	25.5	Å³/atom
magnetization	0.0	μB per cell
formation energy (no corrections)	0.65	eV/atom
symmetry	P4/mmm

The structure in POSCAR format:
```
TlPPbS2
1.0
4.9824 0.0000 0.0000
0.0000 5.0579 0.0000
0.0000 0.0000 5.0579
S P Tl Pb
2 1 1 1
Cartesian
0.0000 2.5289 0.0000
0.0000 0.0000 2.5289
2.4912 0.0000 0.0000
0.0000 0.0000 0.0000
2.4912 2.5289 2.5289
```


18.
A plane-wave DFT calculation with SCAN was carried out for a crystal of CuAsRu2 relaxed with PBEsol.

volume	13.3	Å³/atom
magnetization	0.0	μB per cell
symmetry	Cm
VASP energy	-1.92204	Ry per atom

The structure in POSCAR format:
```
CuAsRu2
1.0
2.8807 0.0000 0.0000
0.0000 4.3278 -0.0362
-1.4404 -1.4375 4.2640
As Cu Ru
1 1 2
Cartesian
1.4404 2.4163 0.0264
1.4404 0.0702 2.0761
1.4404 -1.0965 4.2486
0.0000 2.2267 2.1226
```


19.
A plane-wave DFT calculation with SCAN was carried out for a crystal of Zr2Sb2F relaxed with PBEsol.

volume	23.9	Å³/atom
magnetization	0.0	μB per cell
formation energy (no corrections)	-0.22	eV/atom
symmetry	I4/mmm

The structure in POSCAR format:
```
Zr2Sb2F
1.0
4.2501 0.0000 0.0000
0.0000 4.2501 0.0000
-2.1251 -2.1251 6.6181
Zr Sb F
2 2 1
Cartesian
2.1251 2.1251 1.3289
0.0000 0.0000 5.2892
2.1251 0.0000 3.3091
0.0000 2.1251 3.3091
0.0000 0.0000 0.0000
```


20.
A plane-wave DFT calculation with SCAN was carried out for a crystal of ScTa2Mo relaxed with PBEsol.

volume	17.5	Å³/atom
magnetization	0.0	μB per cell
symmetry	Pmmm
distance to the lowest polymorph of the same formula	0.122	eV/atom

The structure in POSCAR format:
```
ScTa2Mo
1.0
-0.4612 3.1687 -0.5014
-1.2765 0.5114 4.4058
4.4464 0.8357 1.1912
Sc Mo Ta
1 1 2
Cartesian
1.5850 0.6736 2.7985
1.9926 2.0022 0.3449
0.0000 0.0000 0.0000
-0.8688 1.8400 1.9522
```


21.
A plane-wave DFT calculation with SCAN was carried out for a crystal of Tc2AuI relaxed with PBEsol.

volume	16.3	Å³/atom
magnetization	0.0	μB per cell
formation energy (no corrections)	0.92	eV/atom
symmetry	Fm-3m

The structure in POSCAR format:
```
Tc2AuI
1.0
-2.3051 3.1714 -2.2455
-4.0587 1.3188 1.4837
-0.5215 4.1122 1.7976
Tc I Au
2 1 1
Cartesian
-5.1639 6.4518 0.7769
-1.7213 2.1506 0.2590
0.0000 0.0000 0.0000
-3.4426 4.3012 0.5179
```


22.
A plane-wave DFT calculation with SCAN was carried out for a crystal of SrMg2Pd relaxed with PBEsol.

volume	24.6	Å³/atom
magnetization	0.0	μB per cell
symmetry	Cmcm
VASP energy	-1.23254	Ry per atom

The structure in POSCAR format:
```
SrMg2Pd
1.0
4.3521 0.0000 0.0000
-2.1760 5.5361 0.0000
0.0000 0.0000 8.1682
Sr Mg Pd
2 4 2
Cartesian
2.1760 0.5976 6.1262
0.0000 4.9385 2.0421
2.1760 3.7203 7.6834
2.1760 3.7203 4.5689
0.0000 1.8157 3.5993
0.0000 1.8157 0.4848
0.0000 3.0010 6.1262
2.1760 2.5350 2.0421
```


23.
A plane-wave DFT calculation with SCAN was carried out for a crystal of SrRuCl2 relaxed with PBEsol.

volume	21.8	Å³/atom
magnetization	0.0	μB per cell
formation energy (no corrections)	-0.86	eV/atom
symmetry	Pm
distance to the lowest polymorph of the same formula	0.000	eV/atom

The structure in POSCAR format:
```
SrRuCl2
1.0
-2.8718 -3.1694 0.3656
1.1503 -0.5483 4.2827
-2.5955 3.6509 1.1645
Sr Cl Ru
1 2 1
Cartesian
-2.1136 1.7218 3.1190
-4.9984 0.7377 1.4370
-2.1473 -1.0525 2.7729
-3.2586 -0.7514 0.7791
```


24.
A plane-wave DFT calculation with SCAN was carried out for a crystal of Fe3MoAs relaxed with PBEsol.

volume	15.0	Å³/atom
magnetization	4.5	μB per cell
symmetry	Pm-3m
VASP energy	-1.53456	Ry per atom

The structure in POSCAR format:
```
Fe3MoAs
1.0
-1.0790 1.7333 -3.6934
1.5971 -3.3361 -2.0321
-3.7543 -1.9173 0.1970
Fe Mo As
3 1 1
Cartesian
-0.5395 0.8666 -1.8467
-1.8772 -0.9587 0.0985
0.7986 -1.6680 -1.0161
-1.6181 -1.7601 -2.7643
0.0000 0.0000 0.0000
```


25.
A plane-wave DFT calculation with SCAN was carried out for a crystal of FeSe2BrN relaxed with PBEsol.

volume	21.6	Å³/atom
magnetization	6.6	μB per cell
formation energy (no corrections)	1.08	eV/atom
symmetry	P4/mmm

The structure in POSCAR format:
```
FeSe2BrN
1.0
4.5913 0.0000 0.0000
0.0000 4.5913 0.0000
0.0000 0.0000 5.1167
Se Br Fe N
2 1 1 1
Cartesian
2.2956 0.0000 0.0000
0.0000 2.2956 0.0000
0.0000 0.0000 2.5584
0.0000 0.0000 0.0000
2.2956 2.2956 2.5584
```


26.
A plane-wave DFT calculation with SCAN was carried out for a crystal of NaSrTiRh2 relaxed with PBEsol.

volume	23.3	Å³/atom
magnetization	0.0	μB per cell
symmetry	P4/mmm
VASP energy	-1.58756	Ry per atom

The structure in POSCAR format:
```
NaSrTiRh2
1.0
4.5825 0.0000 0.0000
0.0000 4.5825 0.0000
0.0000 0.0000 5.5370
Rh Na Sr Ti
2 1 1 1
Cartesian
0.0000 2.2913 0.0000
2.2913 0.0000 0.0000
2.2913 2.2913 2.7685
0.0000 0.0000 2.7685
0.0000 0.0000 0.0000
```


27.
A plane-wave DFT calculation with SCAN was carried out for a crystal of CdAs5 relaxed with PBEsol.

volume	20.3	Å³/atom
magnetization	0.0	μB per cell
symmetry	Cmmm
VASP energy	-1.60278	Ry per atom

The structure in POSCAR format:
```
CdAs5
1.0
-3.4680 1.2417 0.7047
-1.4173 -1.0667 -5.0950
0.0719 -6.1866 1.2752
As Cd
5 1
Cartesian
-1.2824 -4.2945 1.2558
-3.2194 -2.5140 -1.4344
-2.4832 -1.8880 1.0860
-1.9630 -4.7339 -1.3191
-0.1849 -0.6190 0.1810
-0.8931 -1.1511 -2.3669
```